Record 1
{"formula": "Cu3SiW", "functional": "GGA-PBE", "state": "optimized geometry", "cell": [[-3.4176, 1.9219, 2.5767], [-3.1974, -1.6448, -3.0140], [-0.3313, -3.9514, 2.5078]], "species": ["Si", "Cu", "Cu", "Cu", "W"], "frac_coords": [[0.5000, 0.5000, 0.5000], [0.0000, 0.5000, 0.0000], [0.0000, 0.0000, 0.5000], [0.5000, 0.0000, 0.0000], [0.0000, 0.0000, 0.0000]], "de_polymorph_mev_per_atom": 721, "formation_energy_uncorrected_ev_per_atom": 1.802, "spacegroup": "Pm-3m", "crystal_system": "cubic", "total_energy_ev_per_atom": -4.33}

Record 2
{"formula": "CuSi2W", "functional": "GGA-PBE", "state": "optimized geometry", "cell": [[-3.9850, -1.2178, 1.0352], [-0.9012, -4.1635, 0.5372], [-0.8259, -1.5286, 3.9264]], "species": ["Cu", "Si", "Si", "W"], "frac_coords": [[0.5000, 0.5000, 0.5000], [0.0000, 0.0000, 0.0000], [0.2500, 0.2500, 0.2500], [0.7500, 0.7500, 0.7500]], "de_polymorph_mev_per_atom": 576, "formation_energy_uncorrected_ev_per_atom": 0.559, "spacegroup": "F-43m", "crystal_system": "cubic", "total_energy_ev_per_atom": -6.41}

Record 3
{"formula": "CuSiW2", "functional": "GGA-PBE", "state": "optimized geometry", "cell": [[-2.5875, 0.6055, -0.3627], [-1.0133, -2.6151, 2.8629], [0.3900, 3.8625, 3.6662]], "species": ["Cu", "Si", "W", "W"], "frac_coords": [[0.5000, 0.5000, 0.2500], [0.5000, 0.5000, 0.7500], [0.0000, 0.0000, 0.9969], [0.0000, 0.0000, 0.5031]], "formation_energy_uncorrected_ev_per_atom": 0.287, "spacegroup": "Pmmm", "crystal_system": "orthorhombic", "total_energy_ev_per_atom": -8.57}

Record 4
{"formula": "CuSi4W", "functional": "GGA-PBE", "state": "optimized geometry", "cell": [[2.9144, -3.8154, 0.6204], [1.9632, -0.8661, 4.3396], [-1.4941, -3.7864, 2.6205]], "species": ["Cu", "Si", "Si", "Si", "Si", "W"], "frac_coords": [[0.0000, 0.0000, 0.0000], [0.8735, 0.3755, 0.3755], [0.3755, 0.3755, 0.8735], [0.3755, 0.8735, 0.3755], [0.3755, 0.3755, 0.3755], [0.7500, 0.7500, 0.7500]], "formation_energy_uncorrected_ev_per_atom": 0.473, "spacegroup": "F-43m", "crystal_system": "cubic", "total_energy_ev_per_atom": -5.98}

Record 5
{"formula": "CuSiW2", "functional": "GGA-PBE", "state": "optimized geometry", "cell": [[2.7021, 0.0000, 0.0000], [0.0000, 2.7021, 0.0000], [0.0000, 0.0000, 7.9359]], "species": ["Cu", "Si", "W", "W"], "frac_coords": [[0.0000, 0.0000, 0.5192], [0.5000, 0.5000, 0.7358], [0.0000, 0.0000, 0.9805], [0.5000, 0.5000, 0.2645]], "formation_energy_uncorrected_ev_per_atom": 0.322, "spacegroup": "P4mm", "crystal_system": "tetragonal", "total_energy_ev_per_atom": -8.53}

Record 6
{"formula": "CuSiW2", "functional": "GGA-PBE", "state": "optimized geometry", "cell": [[6.7927, 0.0000, 0.0000], [0.0000, 6.7927, 0.0000], [3.3964, 3.3964, 2.6646]], "species": ["Si", "Si", "Cu", "Cu", "W", "W", "W", "W"], "frac_coords": [[0.5000, 0.5000, 0.0000], [0.2500, 0.7500, 0.5000], [0.0000, 0.0000, 0.0000], [0.7500, 0.2500, 0.5000], [0.6139, 0.1250, 0.2500], [0.1361, 0.6250, 0.2500], [0.3750, 0.3861, 0.7500], [0.8750, 0.8639, 0.7500]], "formation_energy_uncorrected_ev_per_atom": 0.623, "spacegroup": "I-42d", "crystal_system": "tetragonal", "total_energy_ev_per_atom": -8.23}

Record 7
{"formula": "CuSi2W", "functional": "GGA-PBE", "state": "optimized geometry", "cell": [[0.0000, 3.0241, 3.0241], [3.0241, 0.0000, 3.0241], [3.0241, 3.0241, 0.0000]], "species": ["Si", "Si", "Cu", "W"], "frac_coords": [[0.2500, 0.2500, 0.2500], [0.7500, 0.7500, 0.7500], [0.0000, 0.0000, 0.0000], [0.5000, 0.5000, 0.5000]], "de_polymorph_mev_per_atom": 354, "formation_energy_uncorrected_ev_per_atom": 0.337, "spacegroup": "Fm-3m", "crystal_system": "cubic", "total_energy_ev_per_atom": -6.64}

Record 8
{"formula": "CuSiW2", "functional": "GGA-PBE", "state": "optimized geometry", "cell": [[-0.6361, -0.4316, -4.8028], [-0.1822, -4.6272, -1.4877], [-2.2231, 3.0449, 3.0731]], "species": ["Cu", "Si", "W", "W"], "frac_coords": [[0.5205, 0.5205, 0.0000], [0.7367, 0.2367, 0.5000], [0.9886, 0.9886, 0.0000], [0.2541, 0.7541, 0.5000]], "formation_energy_uncorrected_ev_per_atom": 0.119, "spacegroup": "Imm2", "crystal_system": "orthorhombic", "total_energy_ev_per_atom": -8.74}

Record 9
{"formula": "Cu4SiW", "functional": "GGA-PBE", "state": "optimized geometry", "cell": [[-3.0357, -3.6187, 0.7071], [-1.5625, -0.9801, 4.4055], [-4.5429, 0.8890, 1.1754]], "species": ["Cu", "Cu", "Cu", "Cu", "Si", "W"], "frac_coords": [[0.3750, 0.8750, 0.3750], [0.8750, 0.3750, 0.3750], [0.3750, 0.3750, 0.8750], [0.3750, 0.3750, 0.3750], [0.7500, 0.7500, 0.7500], [0.0000, 0.0000, 0.0000]], "formation_energy_uncorrected_ev_per_atom": 0.421, "spacegroup": "F-43m", "crystal_system": "cubic", "total_energy_ev_per_atom": -5.37}

Record 10
{"formula": "CuSiW2", "functional": "GGA-PBE", "state": "optimized geometry", "cell": [[4.9625, -0.0066, -0.0115], [2.0448, 4.5216, 0.0115], [-3.0780, -2.9180, 2.5763]], "species": ["Cu", "Si", "W", "W"], "frac_coords": [[0.2500, 0.7500, 0.5000], [0.7500, 0.2500, 0.5000], [0.9923, 0.9923, 0.0000], [0.5077, 0.5077, 0.0000]], "formation_energy_uncorrected_ev_per_atom": 0.214, "spacegroup": "Immm", "crystal_system": "orthorhombic", "total_energy_ev_per_atom": -8.64}

Record 11
{"formula": "Cu2SiW", "functional": "GGA-PBE", "state": "optimized geometry", "cell": [[4.5555, -0.0590, 0.0000], [1.4492, 4.3193, 0.0000], [-3.0024, -2.1302, 2.6841]], "species": ["Cu", "Cu", "Si", "W"], "frac_coords": [[0.0000, 0.0000, 0.0000], [0.2500, 0.7500, 0.5000], [0.5000, 0.5000, 0.0000], [0.7500, 0.2500, 0.5000]], "formation_energy_uncorrected_ev_per_atom": 0.259, "spacegroup": "I-4m2", "crystal_system": "tetragonal", "total_energy_ev_per_atom": -6.38}

Record 12
{"formula": "CuSiW2", "functional": "GGA-PBE", "state": "optimized geometry", "cell": [[4.8918, -0.0086, 0.0129], [-1.9277, 4.4960, 0.0129], [0.3589, 0.5433, 2.6139]], "species": ["Cu", "Si", "W", "W"], "frac_coords": [[0.5000, 0.0000, 0.5000], [0.0000, 0.5000, 0.5000], [0.0000, 0.0000, 0.0000], [0.5000, 0.5000, 0.0000]], "formation_energy_uncorrected_ev_per_atom": 0.209, "spacegroup": "C2/m", "crystal_system": "monoclinic", "total_energy_ev_per_atom": -8.65}

Record 13
{"formula": "Cu2SiW", "functional": "GGA-PBE", "state": "optimized geometry", "cell": [[8.5093, -0.0044, -0.0026], [8.0667, 2.7086, -0.0026], [8.0667, 1.3160, 2.3674]], "species": ["Cu", "Cu", "Si", "W"], "frac_coords": [[0.9968, 0.9968, 0.9968], [0.2479, 0.2479, 0.2479], [0.5038, 0.5038, 0.5038], [0.7514, 0.7514, 0.7514]], "formation_energy_uncorrected_ev_per_atom": 0.173, "spacegroup": "R3m", "crystal_system": "trigonal", "total_energy_ev_per_atom": -6.47}

Record 14
{"formula": "Cu2SiW", "functional": "GGA-PBE", "state": "optimized geometry", "cell": [[4.9551, 0.0041, 0.0000], [2.4221, 4.3228, 0.0000], [-3.6886, -2.1635, 2.5034]], "species": ["Cu", "Cu", "Si", "W"], "frac_coords": [[0.0000, 0.0000, 0.0000], [0.5000, 0.5000, 0.0000], [0.2500, 0.7500, 0.5000], [0.7500, 0.2500, 0.5000]], "formation_energy_uncorrected_ev_per_atom": 0.224, "spacegroup": "I4/mmm", "crystal_system": "tetragonal", "total_energy_ev_per_atom": -6.42}

Record 15
{"formula": "Cu2SiW", "functional": "GGA-PBE", "state": "optimized geometry", "cell": [[-0.5423, -1.6657, -2.0417], [2.4327, 0.9589, -0.6323], [3.2824, -5.7885, 3.8507]], "species": ["Cu", "Cu", "Si", "W"], "frac_coords": [[0.0000, 0.0000, 0.0103], [0.5000, 0.5000, 0.2549], [0.0000, 0.0000, 0.4898], [0.5000, 0.5000, 0.7450]], "formation_energy_uncorrected_ev_per_atom": 0.175, "spacegroup": "Cmm2", "crystal_system": "orthorhombic", "total_energy_ev_per_atom": -6.47}

Record 16
{"formula": "Cu2SiW", "functional": "GGA-PBE", "state": "optimized geometry", "cell": [[-8.4419, 1.9085, 0.2379], [-8.5791, -0.7231, 0.9166], [-8.1013, 1.1523, 2.8295]], "species": ["Cu", "Cu", "Si", "W"], "frac_coords": [[0.9946, 0.9946, 0.9946], [0.5054, 0.5054, 0.5054], [0.2500, 0.2500, 0.2500], [0.7500, 0.7500, 0.7500]], "formation_energy_uncorrected_ev_per_atom": 0.219, "spacegroup": "R-3m", "crystal_system": "trigonal", "total_energy_ev_per_atom": -6.42}

Record 17
{"formula": "Cu2SiW", "functional": "GGA-PBE", "state": "optimized geometry", "cell": [[-2.3516, 2.6622, 2.2782], [-0.3007, -0.4978, 4.1796], [1.8553, 2.7643, 2.5930]], "species": ["Cu", "Cu", "Si", "W"], "frac_coords": [[0.0000, 0.0000, 0.0000], [0.7500, 0.7500, 0.7500], [0.5000, 0.5000, 0.5000], [0.2500, 0.2500, 0.2500]], "formation_energy_uncorrected_ev_per_atom": 0.270, "spacegroup": "F-43m", "crystal_system": "cubic", "total_energy_ev_per_atom": -6.37}

Record 18
{"formula": "Cu2SiW2", "functional": "GGA-PBE", "state": "optimized geometry", "cell": [[5.8499, 0.0000, 0.0000], [0.0000, 5.8499, 0.0000], [0.0000, 0.0000, 4.0504]], "species": ["Si", "Si", "Cu", "Cu", "Cu", "Cu", "W", "W", "W", "W"], "frac_coords": [[0.0000, 0.0000, 0.0000], [0.5000, 0.5000, 0.0000], [0.3618, 0.8618, 0.0000], [0.8618, 0.6382, 0.0000], [0.6382, 0.1382, 0.0000], [0.1382, 0.3618, 0.0000], [0.1667, 0.6667, 0.5000], [0.6667, 0.8333, 0.5000], [0.8333, 0.3333, 0.5000], [0.3333, 0.1667, 0.5000]], "de_polymorph_mev_per_atom": 0, "formation_energy_uncorrected_ev_per_atom": 0.382, "spacegroup": "P4/mbm", "crystal_system": "tetragonal", "total_energy_ev_per_atom": -7.52}

Record 19
{"formula": "CuSi2W", "functional": "GGA-PBE", "state": "optimized geometry", "cell": [[-7.8596, 0.7931, 1.5735], [-7.8793, -1.6697, 0.0820], [-7.3172, -1.7011, 2.9057]], "species": ["Cu", "Si", "Si", "W"], "frac_coords": [[0.7430, 0.7430, 0.7430], [0.0007, 0.0007, 0.0007], [0.2546, 0.2546, 0.2546], [0.5017, 0.5017, 0.5017]], "de_polymorph_mev_per_atom": 289, "formation_energy_uncorrected_ev_per_atom": 0.273, "spacegroup": "R3m", "crystal_system": "trigonal", "total_energy_ev_per_atom": -6.70}

Record 20
{"formula": "CuSi2W", "functional": "GGA-PBE", "state": "optimized geometry", "cell": [[3.1774, 0.0000, 0.0000], [0.0000, 3.1919, 0.0000], [0.0000, 0.0000, 5.3502]], "species": ["Cu", "Si", "Si", "W"], "frac_coords": [[0.5000, 0.5000, 0.7500], [0.0000, 0.0000, 0.9912], [0.0000, 0.0000, 0.5088], [0.5000, 0.5000, 0.2500]], "de_polymorph_mev_per_atom": 31, "formation_energy_uncorrected_ev_per_atom": 0.014, "spacegroup": "Pmmm", "crystal_system": "orthorhombic", "total_energy_ev_per_atom": -6.96}